Record 1
HgPdS: relaxed, PBE.

Magnetic moment ... 0.000 μB per formula unit
Formation energy without anion corrections ... -0.203 eV per atom
SG ... C2/m (12)
Calculated volume ... 20.796 Å³/atom

Cell lengths 12.561, 3.504, 6.199 Å; angles 90.00, 113.86, 90.00 degrees
Positions (direct):
Hg 0.177 0.000 0.291
Hg 0.323 0.500 0.709
Hg 0.677 0.500 0.291
Hg 0.823 0.000 0.709
Pd 0.000 0.000 0.500
Pd 0.000 0.500 0.000
Pd 0.500 0.000 0.000
Pd 0.500 0.500 0.500
S 0.103 0.500 0.756
S 0.397 0.000 0.244
S 0.603 0.000 0.756
S 0.897 0.500 0.244


Record 2
VAg2Mo: relaxed, PBE.

Magnetic moment ... 0.743 μB per formula unit
SG ... I-42d (122)
Calculated volume ... 17.799 Å³/atom
Calculated formation energy ... 972 meV per atom

Cell lengths 7.430, 7.430, 5.158 Å; angles 90.00, 90.00, 90.00 degrees
Positions (direct):
V 0.000 0.000 0.000
V 0.000 0.500 0.250
V 0.500 0.000 0.750
V 0.500 0.500 0.500
Ag 0.239 0.250 0.125
Ag 0.250 0.739 0.375
Ag 0.250 0.761 0.875
Ag 0.261 0.250 0.625
Ag 0.739 0.750 0.625
Ag 0.750 0.239 0.875
Ag 0.750 0.261 0.375
Ag 0.761 0.750 0.125
Mo 0.000 0.000 0.500
Mo 0.000 0.500 0.750
Mo 0.500 0.000 0.250
Mo 0.500 0.500 0.000


Record 3
Na3As3Pt2: relaxed, PBE.

Magnetic moment ... 0.000 μB per formula unit
SG ... Cmcm (63)
Calculated volume ... 20.458 Å³/atom
Calculated formation energy ... -446 meV per atom

Cell lengths 5.700, 5.700, 14.261 Å; angles 90.00, 90.00, 135.04 degrees
Positions (direct):
Na 0.083 0.917 0.621
Na 0.083 0.917 0.879
Na 0.380 0.620 0.750
Na 0.620 0.380 0.250
Na 0.917 0.083 0.121
Na 0.917 0.083 0.379
As 0.321 0.679 0.250
As 0.376 0.624 0.532
As 0.376 0.624 0.968
As 0.624 0.376 0.032
As 0.624 0.376 0.468
As 0.679 0.321 0.750
Pt 0.204 0.796 0.098
Pt 0.204 0.796 0.402
Pt 0.796 0.204 0.598
Pt 0.796 0.204 0.902


Record 4
TlTc2SnO8: relaxed, PBE.

Magnetic moment ... 1.059 μB per formula unit
Formation energy without anion corrections ... -1.281 eV per atom
SG ... C2/m (12)
Calculated volume ... 20.008 Å³/atom

Cell lengths 6.994, 6.994, 5.672 Å; angles 99.91, 99.91, 62.05 degrees
Positions (direct):
Tl 0.000 0.000 0.000
Tc 0.316 0.316 0.839
Tc 0.684 0.684 0.161
Sn 0.500 0.500 0.500
O 0.172 0.172 0.718
O 0.212 0.572 0.712
O 0.352 0.352 0.157
O 0.428 0.788 0.288
O 0.572 0.212 0.712
O 0.648 0.648 0.843
O 0.788 0.428 0.288
O 0.828 0.828 0.282


Record 5
LaPb2W: relaxed, PBE.

Magnetic moment ... 2.229 μB per formula unit
SG ... I-4m2 (119)
Calculated volume ... 26.524 Å³/atom
Calculated formation energy ... 587 meV per atom

Cell lengths 4.583, 4.583, 10.104 Å; angles 90.00, 90.00, 90.00 degrees
Positions (direct):
La 0.000 0.000 0.000
La 0.500 0.500 0.500
Pb 0.000 0.000 0.500
Pb 0.000 0.500 0.750
Pb 0.500 0.000 0.250
Pb 0.500 0.500 0.000
W 0.000 0.500 0.250
W 0.500 0.000 0.750


Record 6
Sr6TlRh: relaxed, PBE.

Magnetic moment ... 0.000 μB per formula unit
SG ... C2/m (12)
Calculated volume ... 46.600 Å³/atom
Calculated formation energy ... -165 meV per atom

Cell lengths 7.980, 12.567, 7.680 Å; angles 90.00, 104.52, 90.00 degrees
Positions (direct):
Sr 0.199 0.163 0.240
Sr 0.199 0.837 0.240
Sr 0.240 0.500 0.210
Sr 0.260 0.000 0.790
Sr 0.301 0.337 0.760
Sr 0.301 0.663 0.760
Sr 0.699 0.337 0.240
Sr 0.699 0.663 0.240
Sr 0.740 0.000 0.210
Sr 0.760 0.500 0.790
Sr 0.801 0.163 0.760
Sr 0.801 0.837 0.760
Tl 0.000 0.500 0.500
Tl 0.500 0.000 0.500
Rh 0.000 0.000 0.000
Rh 0.500 0.500 0.000


Record 7
BaTi2ZnRu: relaxed, PBE.

Magnetic moment ... 2.644 μB per formula unit
SG ... P4/mmm (123)
Calculated volume ... 23.445 Å³/atom
Calculated formation energy ... 849 meV per atom

Cell lengths 4.901, 4.901, 4.880 Å; angles 90.00, 90.00, 90.00 degrees
Positions (direct):
Ba 0.000 0.000 0.000
Ti 0.000 0.500 0.500
Ti 0.500 0.000 0.500
Zn 0.500 0.500 0.500
Ru 0.500 0.500 0.000


Record 8
SrNiSn2: relaxed, PBE.

Magnetic moment ... 0.000 μB per formula unit
SG ... Pnma (62)
Calculated volume ... 25.463 Å³/atom
Calculated formation energy ... -461 meV per atom

Cell lengths 7.786, 4.524, 11.566 Å; angles 90.00, 90.00, 90.00 degrees
Positions (direct):
Sr 0.170 0.250 0.130
Sr 0.330 0.750 0.630
Sr 0.670 0.250 0.370
Sr 0.830 0.750 0.870
Ni 0.006 0.750 0.359
Ni 0.494 0.250 0.859
Ni 0.506 0.750 0.141
Ni 0.994 0.250 0.641
Sn 0.132 0.250 0.437
Sn 0.157 0.250 0.829
Sn 0.343 0.750 0.329
Sn 0.368 0.750 0.937
Sn 0.632 0.250 0.063
Sn 0.657 0.250 0.671
Sn 0.843 0.750 0.171
Sn 0.868 0.750 0.563


Record 9
LaBe2Pt: relaxed, PBE.

Magnetic moment ... 0.000 μB per formula unit
SG ... I4_1/amd (141)
Calculated volume ... 19.784 Å³/atom
Calculated formation energy ... -399 meV per atom

Cell lengths 4.611, 4.611, 14.890 Å; angles 90.00, 90.00, 90.00 degrees
Positions (direct):
La 0.000 0.250 0.375
La 0.000 0.750 0.625
La 0.500 0.250 0.125
La 0.500 0.750 0.875
Be 0.000 0.000 0.000
Be 0.000 0.500 0.000
Be 0.250 0.250 0.750
Be 0.250 0.750 0.250
Be 0.500 0.000 0.500
Be 0.500 0.500 0.500
Be 0.750 0.250 0.750
Be 0.750 0.750 0.250
Pt 0.000 0.250 0.875
Pt 0.000 0.750 0.125
Pt 0.500 0.250 0.625
Pt 0.500 0.750 0.375